(1)
{
  "formula": "Tb3Ce4P8",
  "functional": "PBE-GGA",
  "state": "optimized geometry",
  "lattice_angstrom": [[5.702, -5.739, 0.000], [5.702, 5.739, 0.000], [-5.652, 0.000, 5.761]],
  "species": ["Tb", "Tb", "Tb", "Ce", "Ce", "Ce", "Ce", "P", "P", "P", "P", "P", "P", "P", "P"],
  "fractional_positions": [[0.000, 0.000, 0.000], [0.000, 0.500, 0.000], [0.500, 0.000, 0.000], [0.000, 0.000, 0.500], [0.000, 0.500, 0.500], [0.500, 0.000, 0.500], [0.500, 0.500, 0.000], [0.245, 0.755, 0.500], [0.247, 0.247, 0.501], [0.247, 0.247, 0.989], [0.249, 0.751, 0.000], [0.751, 0.249, 0.000], [0.753, 0.753, 0.011], [0.753, 0.753, 0.499], [0.755, 0.245, 0.500]],
  "total_magnetization_mub_per_cell": 0.86,
  "formation_energy_mev_per_atom": -1292,
  "dos_ef_per_ev_atom": 0.677,
  "total_energy_ev_per_cell": -100.28
}

---

(2)
{
  "formula": "Tb3CeP4",
  "functional": "PBE-GGA",
  "state": "optimized geometry",
  "lattice_angstrom": [[-2.858, 2.858, 5.710], [2.858, -2.858, 5.710], [2.858, 2.858, -5.710]],
  "species": ["Tb", "Tb", "Tb", "Ce", "P", "P", "P", "P"],
  "fractional_positions": [[0.000, 0.000, 0.000], [0.250, 0.750, 0.500], [0.750, 0.250, 0.500], [0.500, 0.500, 0.000], [0.000, 0.500, 0.500], [0.251, 0.251, 0.000], [0.500, 0.000, 0.500], [0.749, 0.749, 0.000]],
  "total_magnetization_mub_per_cell": 0.47,
  "formation_energy_mev_per_atom": -1587,
  "polymorph_energy_kcal_per_mol_atoms": 0.054,
  "dos_ef_per_ev_atom": 0.724,
  "total_energy_ev_per_cell": -54.16
}

---

Q: What is the formula in the first record?
A: Tb3Ce4P8